Below is crystalline Ho5CdSi2 at its relaxed geometry, with properties calculated at the GGA-PBE level.

Results
Raw total energy (Ry per atom): -0.3567
Crystal system: tetragonal
V (Å³/atom): 25.4
Energy relative to the elements, uncorrected (eV per formula unit): -4.18
Space-group type: I4/mcm

a b c (Å): 7.5758 7.5758 8.8863
angles (deg): 115.23 115.23 90.00
Fractional positions:
Si (0.3722, 0.8722, 0.0000)
Si (0.1278, 0.3722, 0.0000)
Si (0.8722, 0.6278, 0.0000)
Si (0.6278, 0.1278, 0.0000)
Ho (0.0000, 0.0000, 0.0000)
Ho (0.0303, 0.5303, 0.7226)
Ho (0.5000, 0.5000, 0.0000)
Ho (0.1923, 0.0303, 0.7226)
Ho (0.4697, 0.3077, 0.2774)
Ho (0.3077, 0.8077, 0.2774)
Ho (0.9697, 0.4697, 0.2774)
Ho (0.8077, 0.9697, 0.2774)
Ho (0.5303, 0.6923, 0.7226)
Ho (0.6923, 0.1923, 0.7226)
Cd (0.2500, 0.2500, 0.5000)
Cd (0.7500, 0.7500, 0.5000)

***

Below is crystalline Li2BiBSb at its relaxed geometry, with properties calculated at the GGA-PBE level.

Results
Raw total energy (Ry per atom): -0.2124
Crystal system: tetragonal
V (Å³/atom): 25.8
Energy relative to the elements, uncorrected (eV per formula unit): 4.06
Space-group type: P4/mmm

a b c (Å): 5.3319 4.5325 5.3319
angles (deg): 90.00 90.00 90.00
Fractional positions:
Bi (0.0000, 0.0000, 0.0000)
Li (0.5000, 0.0000, 0.0000)
Li (0.0000, 0.0000, 0.5000)
B (0.0000, 0.5000, 0.0000)
Sb (0.5000, 0.5000, 0.5000)